No. 1
Material: LiZn2Pd
Method: DFT, PBE
State: optimized geometry

E above lowest polymorph, eV per formula unit: 0.00
Total magnetic moment, μB per formula unit: 0.00
Energy relative to the elements, eV/atom: -0.4525
Final energy, eV/f.u.: -11.46

Cell and atoms, written as CIF:
```
data_LiZn2Pd
_chemical_formula_sum 'Li4 Zn8 Pd4'
_symmetry_space_group_name_H-M 'F m -3 m'
_symmetry_Int_Tables_number 225
_symmetry_space_group_name_Hall '-F 4 2 3'
_cell_length_a 6.107
_cell_length_b 6.107
_cell_length_c 6.107
_cell_angle_alpha 90.00
_cell_angle_beta 90.00
_cell_angle_gamma 90.00
loop_
_atom_site_label
_atom_site_fract_x
_atom_site_fract_y
_atom_site_fract_z
Li1 0.000 0.000 0.000
Zn1 0.250 0.250 0.250
Pd1 0.000 0.000 0.500
```

=====

No. 2
Material: Li2ZnPd2
Method: DFT, PBE
State: optimized geometry

E above lowest polymorph, eV per formula unit: 1.37
Total magnetic moment, μB per formula unit: 0.00
Energy relative to the elements, eV/atom: -0.1914
Final energy, eV/f.u.: -16.44

Cell and atoms, written as CIF:
```
data_Li2ZnPd2
_chemical_formula_sum 'Li4 Zn2 Pd4'
_symmetry_space_group_name_H-M 'I 4/m m m'
_symmetry_Int_Tables_number 139
_symmetry_space_group_name_Hall '-I 4 2'
_cell_length_a 3.201
_cell_length_b 3.201
_cell_length_c 14.004
_cell_angle_alpha 90.00
_cell_angle_beta 90.00
_cell_angle_gamma 90.00
loop_
_atom_site_label
_atom_site_fract_x
_atom_site_fract_y
_atom_site_fract_z
Li1 0.000 0.500 0.250
Zn1 0.000 0.000 0.000
Pd1 0.000 0.000 0.397
```

=====

No. 3
Material: LiZn4Pd5
Method: DFT, PBE
State: optimized geometry

Total magnetic moment, μB per formula unit: 0.00
Energy relative to the elements, eV/atom: -0.5458
Final energy, eV/f.u.: -38.43

Cell and atoms, written as CIF:
```
data_LiZn4Pd5
_chemical_formula_sum 'Li1 Zn4 Pd5'
_symmetry_space_group_name_H-M 'P 4/m m m'
_symmetry_Int_Tables_number 123
_symmetry_space_group_name_Hall '-P 4 2'
_cell_length_a 3.104
_cell_length_b 3.104
_cell_length_c 14.776
_cell_angle_alpha 90.00
_cell_angle_beta 90.00
_cell_angle_gamma 90.00
loop_
_atom_site_label
_atom_site_fract_x
_atom_site_fract_y
_atom_site_fract_z
Li1 0.000 0.000 0.000
Zn1 0.000 0.000 0.196
Zn2 0.000 0.000 0.399
Pd1 0.500 0.500 0.098
Pd2 0.500 0.500 0.299
Pd3 0.500 0.500 0.500
```

=====

No. 4
Material: Li3Zn3Pd2
Method: DFT, PBE
State: optimized geometry

E above lowest polymorph, eV per formula unit: 0.00
Total magnetic moment, μB per formula unit: 0.00
Energy relative to the elements, eV/atom: -0.3507
Final energy, eV/f.u.: -22.75

Cell and atoms, written as CIF:
```
data_Li3Zn3Pd2
_chemical_formula_sum 'Li6 Zn6 Pd4'
_symmetry_space_group_name_H-M 'P 63/m c m'
_symmetry_Int_Tables_number 193
_symmetry_space_group_name_Hall '-P 6c 2'
_cell_length_a 7.4174
_cell_length_b 7.4174
_cell_length_c 5.4331
_cell_angle_alpha 90.00
_cell_angle_beta 90.00
_cell_angle_gamma 120.00
loop_
_atom_site_label
_atom_site_fract_x
_atom_site_fract_y
_atom_site_fract_z
Li1 0.0000 0.2456 0.2500
Zn1 0.0000 0.4089 0.7500
Pd1 0.3333 0.6667 0.0000
```

=====

No. 5
Material: LiZnPd5
Method: DFT, PBE
State: optimized geometry

E above lowest polymorph, eV per formula unit: 2.27
Total magnetic moment, μB per formula unit: 0.00
Energy relative to the elements, eV/atom: 0.1215
Final energy, eV/f.u.: -28.30

Cell and atoms, written as CIF:
```
data_LiZnPd5
_chemical_formula_sum 'Li2 Zn2 Pd10'
_symmetry_space_group_name_H-M 'I m m 2'
_symmetry_Int_Tables_number 44
_cell_length_a 5.200
_cell_length_b 6.508
_cell_length_c 6.933
_cell_angle_alpha 90.00
_cell_angle_beta 90.00
_cell_angle_gamma 90.00
loop_
_symmetry_equiv_pos_as_xyz
'x,y,z'
'-x,-y,z'
'-x,y,z'
'x,-y,z'
'x+1/2,y+1/2,z+1/2'
'-x+1/2,-y+1/2,z+1/2'
'-x+1/2,y+1/2,z+1/2'
'x+1/2,-y+1/2,z+1/2'
loop_
_atom_site_label
_atom_site_fract_x
_atom_site_fract_y
_atom_site_fract_z
Li1 0.000 0.000 0.000
Zn1 0.000 0.500 0.481
Pd1 0.000 0.000 0.324
Pd2 0.000 0.306 0.819
Pd3 0.242 0.500 0.153
```

=====

No. 6
Material: LiZnPd14
Method: DFT, PBE
State: optimized geometry

Total magnetic moment, μB per formula unit: 0.00
Energy relative to the elements, eV/atom: -0.1373
Final energy, eV/f.u.: -78.08

Cell and atoms, written as CIF:
```
data_LiZnPd14
_chemical_formula_sum 'Li2 Zn2 Pd28'
_symmetry_space_group_name_H-M 'A m m 2'
_symmetry_Int_Tables_number 38
_cell_length_a 9.111
_cell_length_b 5.562
_cell_length_c 9.547
_cell_angle_alpha 90.00
_cell_angle_beta 90.00
_cell_angle_gamma 90.00
loop_
_symmetry_equiv_pos_as_xyz
'x,y,z'
'-x,-y,z'
'-x,y,z'
'x,-y,z'
'x,y+1/2,z+1/2'
'-x,-y+1/2,z+1/2'
'-x,y+1/2,z+1/2'
'x,-y+1/2,z+1/2'
loop_
_atom_site_label
_atom_site_fract_x
_atom_site_fract_y
_atom_site_fract_z
Li1 0.000 0.000 0.000
Zn1 0.000 0.000 0.500
Pd1 0.000 0.249 0.750
Pd2 0.243 0.250 0.081
Pd3 0.246 0.000 0.333
Pd4 0.247 0.000 0.833
Pd5 0.500 0.000 0.165
Pd6 0.500 0.000 0.665
Pd7 0.500 0.250 0.415
```